Density functional theory data (GGA-PBE) for crystalline CuIr2Rh3 at its relaxed geometry.

- final energy (eV per atom) = -7.29
- spin magnetization (μB per cell) = 0.0
- crystal system = tetragonal
- energy relative to the elements (eV/atom) = 0.0179

Geometry as CIF:
```
data_CuIr2Rh3
_chemical_formula_sum 'Cu1 Ir2 Rh3'
_cell_length_a 2.731
_cell_length_b 2.731
_cell_length_c 11.284
_cell_angle_alpha 90.00
_cell_angle_beta 90.00
_cell_angle_gamma 90.00
_space_group_name_H-M_alt 'P 4/m m m'
_space_group_IT_number 123
_space_group_name_Hall '-P 4 2'
loop_
_atom_site_label
_atom_site_fract_x
_atom_site_fract_y
_atom_site_fract_z
Cu1 0.000 0.000 0.000
Ir1 0.000 0.000 0.328
Rh1 0.500 0.500 0.162
Rh2 0.500 0.500 0.500
```